La8ThIn2: optimized geometry, GGA-PBE.

a b c (Å): 6.2958 10.2311 10.2311
angles (deg): 39.38 65.70 65.70
Atoms (fractional coordinates):
La1 0.2342 0.0913 0.5600
La2 0.2342 0.5600 0.0913
La3 0.7658 0.9087 0.4400
La4 0.2646 0.4961 0.4961
La5 0.7658 0.4400 0.9087
La6 0.3254 0.1238 0.1238
La7 0.6746 0.8762 0.8762
La8 0.7354 0.5039 0.5039
Th1 0.0000 0.0000 0.0000
In1 0.7501 0.3229 0.3229
In2 0.2499 0.6771 0.6771

Values from the calculation:
calculated formation energy: -1.36 eV/f.u.
Fermi-level density of states: 17.3 states/eV/f.u.
magnetic moment: 0.0 μB/f.u.